## Li3V4O11F (PBE+U)

Data for a geometry-optimized Li3V4O11F structure.

Structure (CIF):
```
data_Li3V4O11F
_chemical_formula_sum 'Li3 V4 O11 F1'
_cell_length_a 5.003
_cell_length_b 5.034
_cell_length_c 8.946
_cell_angle_alpha 93.00
_cell_angle_beta 91.68
_cell_angle_gamma 109.26
_space_group_name_H-M_alt 'P 1'
_space_group_IT_number 1
loop_
_space_group_symop_operation_xyz
'x,y,z'
loop_
_atom_site_label
_atom_site_type_symbol
_atom_site_fract_x
_atom_site_fract_y
_atom_site_fract_z
_atom_site_occupancy
Li1 Li 0.000 0.000 0.000 1
Li2 Li 0.196 0.339 0.748 1
Li3 Li 0.687 0.834 0.273 1
V1 V 0.082 0.472 0.250 1
V2 V 0.134 0.953 0.507 1
V3 V 0.545 0.917 0.752 1
V4 V 0.655 0.355 0.002 1
O1 O 0.050 0.164 0.370 1
O2 O 0.251 0.688 0.649 1
O3 O 0.313 0.770 0.357 1
O4 O 0.318 0.417 0.129 1
O5 O 0.349 0.096 0.888 1
O6 O 0.425 0.190 0.597 1
O7 O 0.602 0.689 0.875 1
O8 O 0.726 0.153 0.141 1
O9 O 0.858 0.960 0.633 1
O10 O 0.867 0.284 0.867 1
O11 O 0.911 0.666 0.117 1
F1 F 0.814 0.585 0.400 1
```

Summary:
D(E_F)   0.00 states/eV/f.u.
Distance to the lowest polymorph of the same formula   0.0225 eV/atom